Crystalline Sr2InGeAu6 at its relaxed geometry. Source: the Alexandria database, functional GGA-PBE.

Unit cell a=5.726 b=7.135 c=7.259 alpha=83.02 beta=66.82 gamma=66.38
Fractional positions:
Sr 0.034 0.216 0.217
Sr 0.966 0.784 0.783
In 0.500 0.500 0.000
Ge 0.500 0.000 0.500
Au 0.009 0.234 0.748
Au 0.352 0.397 0.401
Au 0.491 0.767 0.251
Au 0.509 0.233 0.749
Au 0.648 0.603 0.599
Au 0.991 0.766 0.252

Output
- formation enthalpy at 0 K (eV/atom) = -0.436
- SG = P-1

=====

Crystalline Sr2In3GeAu4 at its relaxed geometry. Source: the Alexandria database, functional GGA-PBE.

Unit cell a=4.701 b=4.701 c=11.355 alpha=90.00 beta=90.00 gamma=90.00
Fractional positions:
Sr 0.000 0.500 0.247
Sr 0.500 0.000 0.753
In 0.000 0.000 0.000
In 0.000 0.500 0.630
In 0.500 0.000 0.370
Ge 0.500 0.500 0.000
Au 0.000 0.000 0.500
Au 0.000 0.500 0.870
Au 0.500 0.000 0.130
Au 0.500 0.500 0.500

Output
- formation enthalpy at 0 K (eV/atom) = -0.486
- SG = P-4m2

=====

Crystalline TbInGeAu at its relaxed geometry. Source: the Alexandria database, functional GGA-PBE.

Unit cell a=5.000 b=5.000 c=5.000 alpha=60.00 beta=60.00 gamma=60.00
Fractional positions:
Tb 0.000 0.000 0.000
In 0.500 0.500 0.500
Ge 0.750 0.750 0.750
Au 0.250 0.250 0.250

Output
- formation enthalpy at 0 K (eV/atom) = -0.432
- SG = F-43m

=====

Crystalline InGeTe4Au2 at its relaxed geometry. Source: the Alexandria database, functional GGA-PBE.

Unit cell a=7.908 b=7.908 c=7.908 alpha=131.60 beta=131.60 gamma=70.86
Fractional positions:
In 0.000 0.000 0.000
Ge 0.750 0.250 0.500
Te 0.133 0.619 0.007
Te 0.381 0.388 0.514
Te 0.612 0.127 0.993
Te 0.873 0.867 0.486
Au 0.250 0.750 0.500
Au 0.500 0.500 0.000

Output
- E_form (uncorrected) (eV per atom) = -0.104
- SG = I-4

=====

Crystalline Tl2InGeAu at its relaxed geometry. Source: the Alexandria database, functional GGA-PBE.

Unit cell a=5.533 b=5.533 c=5.283 alpha=90.00 beta=90.00 gamma=90.00
Fractional positions:
Tl 0.000 0.500 0.000
Tl 0.500 0.000 0.000
In 0.000 0.000 0.500
Ge 0.500 0.500 0.500
Au 0.000 0.000 0.000

Output
- formation enthalpy at 0 K (eV/atom) = 0.403
- SG = P4/mmm

=====

Crystalline Tl2InGe2Au7 at its relaxed geometry. Source: the Alexandria database, functional GGA-PBE.

Unit cell a=4.331 b=4.331 c=14.706 alpha=91.89 beta=91.89 gamma=89.80
Fractional positions:
Tl 0.025 0.025 0.367
Tl 0.975 0.975 0.633
In 0.000 0.000 0.000
Ge 0.473 0.473 0.760
Ge 0.527 0.527 0.240
Au 0.017 0.517 0.141
Au 0.478 0.478 0.589
Au 0.483 0.983 0.859
Au 0.500 0.500 0.000
Au 0.517 0.017 0.141
Au 0.522 0.522 0.411
Au 0.983 0.483 0.859

Output
- formation enthalpy at 0 K (eV/atom) = -0.036
- SG = C2/m

=====

Crystalline TlInGeAu2 at its relaxed geometry. Source: the Alexandria database, functional GGA-PBE.

Unit cell a=8.045 b=8.045 c=8.523 alpha=121.27 beta=121.27 gamma=31.42
Fractional positions:
Tl 0.247 0.247 0.333
Tl 0.753 0.753 0.667
In 0.139 0.139 0.822
In 0.861 0.861 0.178
Ge 0.451 0.451 0.766
Ge 0.549 0.549 0.234
Au 0.077 0.077 0.434
Au 0.358 0.358 0.959
Au 0.642 0.642 0.041
Au 0.923 0.923 0.566

Output
- formation enthalpy at 0 K (eV/atom) = -0.042
- SG = C2/m

=====

Crystalline Tl2InGeAu6 at its relaxed geometry. Source: the Alexandria database, functional GGA-PBE.

Unit cell a=6.830 b=8.605 c=8.277 alpha=90.00 beta=90.00 gamma=90.00
Fractional positions:
Tl 0.250 0.037 0.191
Tl 0.250 0.463 0.191
Tl 0.750 0.537 0.809
Tl 0.750 0.963 0.809
In 0.250 0.750 0.767
In 0.750 0.250 0.233
Ge 0.250 0.250 0.758
Ge 0.750 0.750 0.242
Au 0.031 0.750 0.471
Au 0.033 0.750 0.045
Au 0.250 0.012 0.566
Au 0.250 0.488 0.566
Au 0.467 0.750 0.045
Au 0.469 0.750 0.471
Au 0.531 0.250 0.529
Au 0.533 0.250 0.955
Au 0.750 0.512 0.434
Au 0.750 0.988 0.434
Au 0.967 0.250 0.955
Au 0.969 0.250 0.529

Output
- formation enthalpy at 0 K (eV/atom) = -0.009
- SG = Pmmn

=====

no.,magnetization (μB per cell)
1,0.00
2,0.00
3,0.00
4,0.00
5,0.00
6,0.00
7,0.00
8,0.00